# 1
Material: InFe2Re
Method: DFT, PBE
State: optimized geometry

Unit cell a=3.8507 b=3.8507 c=7.8918 alpha=90.00 beta=90.00 gamma=90.00
With the nearest neighbours (Å) after each atom.
Space group I-4m2 (No. 119)
Inequivalent atoms, fractional coordinates:
In (0.0000, 0.0000, 0.0000) [2 per cell]  8 Fe 2.72-2.76, 4 Re 2.76
Fe (0.0000, 0.0000, 0.5000) [2 per cell]  4 In 2.72, 4 Fe 2.76, 4 Re 2.76
Fe (0.0000, 0.5000, 0.2500) [2 per cell]  4 Re 2.72, 4 In 2.76, 4 Fe 2.76
Re (0.0000, 0.5000, 0.7500) [2 per cell]  8 Fe 2.72-2.76, 4 In 2.76

The size of the total moment comes out at 4.7 μB per formula unit. The formation energy from the elements comes out at 448 meV/atom.

***

# 2
Material: In2FeRe
Method: DFT, PBE
State: optimized geometry

Unit cell a=3.2799 b=4.7482 c=8.9030 alpha=90.00 beta=90.00 gamma=90.00
With the nearest neighbours (Å) after each atom.
Space group Cmmm (No. 65)
Inequivalent atoms, fractional coordinates:
In (0.0000, 0.0000, 0.2389) [4 per cell]  2 Fe 2.69, 2 Re 2.84, 4 In 2.89
Fe (0.0000, 0.5000, 0.0000) [2 per cell]  4 In 2.69, 4 Fe 2.89
Re (0.0000, 0.5000, 0.5000) [2 per cell]  4 In 2.84, 4 Re 2.89

The size of the total moment comes out at 2.1 μB per formula unit. The formation energy from the elements comes out at 593 meV/atom.

***

# 3
Material: InFe2Re
Method: DFT, PBE
State: optimized geometry

Unit cell a=6.8363 b=6.8363 c=5.4842 alpha=90.00 beta=90.00 gamma=90.00
With the nearest neighbours (Å) after each atom.
Space group I-42d (No. 122)
Inequivalent atoms, fractional coordinates:
In (0.0000, 0.0000, 0.0000) [4 per cell]  2 Re 2.74, 8 Fe 2.77-2.99
Fe (0.1971, 0.2500, 0.6250) [8 per cell]  2 Re 2.28
Re (0.0000, 0.0000, 0.5000) [4 per cell]  4 Fe 2.28

The size of the total moment comes out at 0.0 μB per formula unit. The formation energy from the elements comes out at 827 meV/atom.

***

# 4
Material: InFe2Re
Method: DFT, PBE
State: optimized geometry

Unit cell a=6.1800 b=6.1800 c=6.1800 alpha=90.00 beta=90.00 gamma=90.00
With the nearest neighbours (Å) after each atom.
Space group F-43m (No. 216)
Inequivalent atoms, fractional coordinates:
In (0.0000, 0.0000, 0.0000) [4 per cell]  4 Fe 2.68, 4 Re 2.68
Fe (0.0000, 0.0000, 0.5000) [4 per cell]  4 Fe 2.68, 4 Re 2.68
Fe (0.2500, 0.2500, 0.2500) [4 per cell]  4 In 2.68, 4 Fe 2.68
Re (0.2500, 0.2500, 0.7500) [4 per cell]  4 In 2.68, 4 Fe 2.68

The size of the total moment comes out at 4.3 μB per formula unit. The formation energy from the elements comes out at 501 meV/atom.

***

# 5
Material: InFe2Re
Method: DFT, PBE
State: optimized geometry

Unit cell a=9.1414 b=2.8714 c=4.5895 alpha=90.00 beta=106.52 gamma=90.00
With the nearest neighbours (Å) after each atom.
Space group Cm (No. 8)
Inequivalent atoms, fractional coordinates:
In (0.0000, 0.0000, 0.0000) [2 per cell]  7 Fe 2.69-2.73, 2 In 2.87, 3 Re 2.87-2.89
Fe (0.2608, 0.5000, 0.2422) [2 per cell]  2 Fe 2.50, 2 Re 2.55, 3 In 2.72-2.73
Fe (0.4862, 0.0000, 0.4883) [2 per cell]  2 Fe 2.50, 3 Re 2.57-2.74, 4 In 2.69-2.72
Re (0.2279, 0.0000, 0.6795) [2 per cell]  5 Fe 2.55-2.74

The size of the total moment comes out at 3.8 μB per formula unit. The formation energy from the elements comes out at 342 meV/atom.

***

# 6
Material: In2FeRe
Method: DFT, PBE
State: optimized geometry

Unit cell a=2.8418 b=4.1957 c=5.8138 alpha=90.00 beta=90.09 gamma=90.00
With the nearest neighbours (Å) after each atom.
Space group P2/m (No. 10)
Inequivalent atoms, fractional coordinates:
In (0.0000, 0.0000, 0.2480) [2 per cell]  4 In 2.84-2.93, 4 Fe 2.91-2.92, 4 Re 2.93
Fe (0.5000, 0.5000, 0.0000) [1 per cell]  2 Fe 2.84, 2 Re 2.91, 8 In 2.91-2.92
Re (0.5000, 0.5000, 0.5000) [1 per cell]  2 Re 2.84, 2 Fe 2.91, 8 In 2.93

The size of the total moment comes out at 2.7 μB per formula unit. The formation energy from the elements comes out at 578 meV/atom.